1.
Computed, not measured: a relaxed CrCoNiF6 crystal at the PBE with a Hubbard U level of DFT.

a = 4.7978 Å, b = 4.7978 Å, c = 9.7630 Å
α = 90.00°, β = 90.00°, γ = 90.00°
With the nearest neighbours (Å) after each atom.
Fractional coordinates of all 18 atoms:
Cr: 0.0000 0.0000 0.0000  6 F 2.09-2.19
Cr: 0.5000 0.5000 0.5000  6 F 2.09-2.19
Co: 0.0000 0.0000 0.3325  6 F 2.04-2.10
Co: 0.5000 0.5000 0.8325  6 F 2.04-2.10
Ni: 0.0000 0.0000 0.6674  6 F 2.01-2.08
Ni: 0.5000 0.5000 0.1674  6 F 2.01-2.08
F: 0.1919 0.1919 0.5018  1 Ni 2.08, 1 Cr 2.09, 1 Co 2.10
F: 0.1996 0.1996 0.8239  1 Co 2.04, 1 Ni 2.04, 1 Cr 2.19
F: 0.2032 0.2032 0.1737  1 Ni 2.01, 1 Co 2.08, 1 Cr 2.19
F: 0.2968 0.7032 0.6737  1 Ni 2.01, 1 Co 2.08, 1 Cr 2.19
F: 0.3004 0.6996 0.3239  1 Co 2.04, 1 Ni 2.04, 1 Cr 2.19
F: 0.3081 0.6919 0.0018  1 Ni 2.08, 1 Cr 2.09, 1 Co 2.10
F: 0.6919 0.3081 0.0018  1 Ni 2.08, 1 Cr 2.09, 1 Co 2.10
F: 0.6996 0.3004 0.3239  1 Co 2.04, 1 Ni 2.04, 1 Cr 2.19
F: 0.7032 0.2968 0.6737  1 Ni 2.01, 1 Co 2.08, 1 Cr 2.19
F: 0.7968 0.7968 0.1737  1 Ni 2.01, 1 Co 2.08, 1 Cr 2.19
F: 0.8004 0.8004 0.8239  1 Co 2.04, 1 Ni 2.04, 1 Cr 2.19
F: 0.8081 0.8081 0.5018  1 Ni 2.08, 1 Cr 2.09, 1 Co 2.10

Properties
E ... -4.945 eV per atom



2.
Computed, not measured: a relaxed CrCoOF2 crystal at the PBE with a Hubbard U level of DFT.

a = 3.9371 Å, b = 3.9371 Å, c = 3.9372 Å
α = 90.00°, β = 90.00°, γ = 90.00°
With the nearest neighbours (Å) after each atom.
Fractional coordinates of all 5 atoms:
Cr: 0.0000 0.0000 0.0000  4 F 1.97, 2 O 1.97
Co: 0.5000 0.5000 0.5000  4 O 2.78, 8 F 2.78
O: 0.0000 0.0000 0.5000  2 Cr 1.97
F: 0.0000 0.5000 0.0000  2 Cr 1.97
F: 0.5000 0.0000 0.0000  2 Cr 1.97

Properties
Energy above the lowest structure with this stoichiometry ... 0 meV per atom



3.
Computed, not measured: a relaxed CrCoOF2 crystal at the PBE with a Hubbard U level of DFT.

a = 4.0470 Å, b = 4.0470 Å, c = 3.7582 Å
α = 90.00°, β = 90.00°, γ = 90.00°
With the nearest neighbours (Å) after each atom.
Fractional coordinates of all 5 atoms:
Cr: 0.0000 0.0000 0.0000  8 F 2.76, 4 O 2.86
Co: 0.5000 0.5000 0.5000  2 O 1.88, 4 F 2.02
O: 0.5000 0.5000 0.0000  2 Co 1.88
F: 0.0000 0.5000 0.5000  2 Co 2.02
F: 0.5000 0.0000 0.5000  2 Co 2.02

Properties
Energy above the lowest structure with this stoichiometry ... 81 meV per atom



4.
Computed, not measured: a relaxed CrCoPbF6 crystal at the PBE with a Hubbard U level of DFT.

a = 5.5403 Å, b = 5.5403 Å, c = 10.5225 Å
α = 90.00°, β = 90.00°, γ = 120.00°
With the nearest neighbours (Å) after each atom.
Fractional coordinates of all 18 atoms:
Cr: 0.3333 0.6667 0.2500  6 F 2.13
Cr: 0.6667 0.3333 0.7500  6 F 2.13
Co: 0.3333 0.6667 0.7500  6 F 2.07
Co: 0.6667 0.3333 0.2500  6 F 2.07
Pb: 0.0000 0.0000 0.0000  6 F 2.50
Pb: 0.0000 0.0000 0.5000  6 F 2.50
F: 0.0082 0.3639 0.6440  1 Co 2.07, 1 Cr 2.13
F: 0.0082 0.6443 0.8560  1 Co 2.07, 1 Cr 2.13
F: 0.3557 0.3639 0.8560  1 Co 2.07, 1 Cr 2.13
F: 0.3557 0.9918 0.6440  1 Co 2.07, 1 Cr 2.13
F: 0.3639 0.0082 0.1440  1 Co 2.07, 1 Cr 2.13
F: 0.3639 0.3557 0.3560  1 Co 2.07, 1 Cr 2.13
F: 0.6361 0.6443 0.6440  1 Co 2.07, 1 Cr 2.13
F: 0.6361 0.9918 0.8560  1 Co 2.07, 1 Cr 2.13
F: 0.6443 0.0082 0.3560  1 Co 2.07, 1 Cr 2.13
F: 0.6443 0.6361 0.1440  1 Co 2.07, 1 Cr 2.13
F: 0.9918 0.3557 0.1440  1 Co 2.07, 1 Cr 2.13
F: 0.9918 0.6361 0.3560  1 Co 2.07, 1 Cr 2.13

Properties
E ... -5.339 eV per atom



5.
Computed, not measured: a relaxed CrCoPt2F crystal at the PBE with a Hubbard U level of DFT.

a = 4.7740 Å, b = 4.7740 Å, c = 3.5490 Å
α = 90.00°, β = 90.00°, γ = 90.00°
With the nearest neighbours (Å) after each atom.
Fractional coordinates of all 5 atoms:
Cr: 0.0000 0.0000 0.0000  8 Pt 2.97
Co: 0.5000 0.5000 0.5000  2 F 1.77
Pt: 0.0000 0.5000 0.5000  2 Co 2.39
Pt: 0.5000 0.0000 0.5000  2 Co 2.39
F: 0.5000 0.5000 0.0000  2 Co 1.77

Properties
E ... -4.642 eV per atom



6.
Computed, not measured: a relaxed Rb2CrCoF6 crystal at the PBE with a Hubbard U level of DFT.

a = 6.0830 Å, b = 6.0830 Å, c = 6.0830 Å
α = 121.53°, β = 121.53°, γ = 87.38°
With the nearest neighbours (Å) after each atom.
Fractional coordinates of all 10 atoms:
Rb: 0.2500 0.7500 0.5000  12 F 2.97-3.04
Rb: 0.7500 0.2500 0.5000  12 F 2.97-3.04
Cr: 0.0000 0.0000 0.0000  6 F 2.14-2.26
Co: 0.5000 0.5000 0.0000  6 F 2.06-2.14
F: 0.2550 0.2550 0.5099  1 Co 2.06, 1 Cr 2.14
F: 0.2550 0.7450 0.0000  1 Co 2.06, 1 Cr 2.14
F: 0.2572 0.2572 0.0000  1 Co 2.14, 1 Cr 2.26
F: 0.7428 0.7428 0.0000  1 Co 2.14, 1 Cr 2.26
F: 0.7450 0.2550 0.0000  1 Co 2.06, 1 Cr 2.14
F: 0.7450 0.7450 0.4901  1 Co 2.06, 1 Cr 2.14

Properties
E ... -5.024 eV per atom